! GGA-PBE BOs, relaxed; values from VASP
&SYSTEM
  ibrav = 0, nat = 16, ntyp = 2
/
ATOMIC_SPECIES
B 10.81 B.upf
Os 190.23 Os.upf
ATOMIC_POSITIONS crystal
B 0.1669 0.1669 0.1669
B 0.3331 0.6669 0.3331
B 0.1669 0.8331 0.8331
B 0.8331 0.8331 0.1669
B 0.3331 0.3331 0.6669
B 0.6669 0.3331 0.3331
B 0.8331 0.1669 0.8331
B 0.6669 0.6669 0.6669
Os 0.6518 0.3482 0.6518
Os 0.1518 0.1518 0.8482
Os 0.3482 0.3482 0.3482
Os 0.8482 0.8482 0.8482
Os 0.3482 0.6518 0.6518
Os 0.6518 0.6518 0.3482
Os 0.1518 0.8482 0.1518
Os 0.8482 0.1518 0.1518
CELL_PARAMETERS angstrom
-0.6440 6.3004 1.4122
-6.1174 -1.0494 1.8922
2.0656 -1.1436 6.0439
! Formation energy ... 0.88 eV/atom
! Spin magnetization ... 0.0 μB per formula unit

=====

! GGA-PBE BP3Os, relaxed; values from VASP
&SYSTEM
  ibrav = 0, nat = 5, ntyp = 3
/
ATOMIC_SPECIES
B 10.81 B.upf
Os 190.23 Os.upf
P 30.97 P.upf
ATOMIC_POSITIONS crystal
B 0.0000 0.0000 0.0000
Os 0.5000 0.5000 0.5000
P 0.0000 0.0000 0.5000
P 0.0000 0.5000 0.0000
P 0.5000 0.0000 0.0000
CELL_PARAMETERS angstrom
3.9880 0.0000 0.0000
0.0000 3.9880 0.0000
0.0000 0.0000 3.9880
! Formation energy ... 0.99 eV/atom
! Offset from the most stable computed form ... 0.0 meV/atom
! Spin magnetization ... 0.0 μB per formula unit

=====

Q: What is the formula in the first record?
A: BOs